# 1
Density functional theory data (GGA-PBE) for crystalline K4H6Os at its relaxed geometry. Values from VASP.

The structure in Quantum ESPRESSO input format:
```
&SYSTEM
  ibrav = 0, nat = 22, ntyp = 3
/
ATOMIC_SPECIES
K 39.10 K.upf
H 1.01 H.upf
Os 190.23 Os.upf
CELL_PARAMETERS angstrom
7.2621 0.0620 -0.1235
0.1225 7.2613 -0.1235
-0.0625 -0.0620 7.2629
ATOMIC_POSITIONS angstrom
K 2.7772 0.8607 1.7539
H 6.8151 0.4424 5.4732
H 1.9917 3.1883 3.1374
H 0.5070 6.8190 1.5426
H 5.5997 0.4502 0.3296
H 3.2867 5.2962 3.0548
K 6.4162 1.8463 2.6388
H 0.4563 1.6656 0.3705
K 5.4383 2.7699 6.2703
H 6.8658 5.5958 6.6453
H 4.0353 1.9651 3.9610
K 4.5449 6.4006 5.2618
K 1.8838 4.4914 0.7455
K 1.7993 1.7843 5.3854
H 1.7224 6.8112 6.6862
Os 3.6610 3.6307 3.5079
K 5.5228 5.4770 1.6304
H 5.3303 4.0730 3.8784
H 3.2219 4.0188 5.1740
H 4.1002 3.2425 1.8418
K 0.9059 5.4150 4.3770
Os 0.0000 0.0000 0.0000
```

Computed properties:
The final energy comes out at -3.439 eV per atom. As for the space group: R-3c (167).

# 2
Density functional theory data (GGA-PBE) for crystalline KH4Os at its relaxed geometry. Values from VASP.

The structure in Quantum ESPRESSO input format:
```
&SYSTEM
  ibrav = 0, nat = 12, ntyp = 3
/
ATOMIC_SPECIES
H 1.01 H.upf
K 39.10 K.upf
Os 190.23 Os.upf
CELL_PARAMETERS angstrom
4.6287 -0.0066 -0.9346
-0.5685 5.3763 -2.8534
-0.0243 -0.0020 6.5495
ATOMIC_POSITIONS angstrom
H 1.8379 3.0925 3.0548
H -0.1651 1.5619 -0.8290
H 0.7012 3.6622 0.2123
H 3.3347 1.7055 2.5492
K 0.7288 0.9803 1.7019
H -0.4033 3.8144 -2.0244
Os 3.0545 2.4434 3.9954
H 2.1981 2.2753 -0.2933
K 3.3071 4.3874 1.0596
Os 0.9814 2.9243 -1.2339
H 1.9892 4.2506 -1.3416
H 2.0467 1.1172 4.1031
```

Computed properties:
The final energy comes out at -4.334 eV per atom. As for the space group: C2/m (12).

# 3
Density functional theory data (GGA-PBE) for crystalline K2H7Os at its relaxed geometry. Values from VASP.

The structure in Quantum ESPRESSO input format:
```
&SYSTEM
  ibrav = 0, nat = 20, ntyp = 3
/
ATOMIC_SPECIES
Os 190.23 Os.upf
K 39.10 K.upf
H 1.01 H.upf
CELL_PARAMETERS angstrom
5.2586 0.0000 2.5645
1.9821 6.0606 2.6095
-0.1031 -0.1113 6.8852
ATOMIC_POSITIONS angstrom
Os 1.7287 4.5177 3.8091
K 5.1049 4.9011 9.5544
H 6.1343 3.8798 5.0354
H 5.4025 2.6937 7.1609
H 1.0033 2.0696 7.0238
K 2.9729 4.0230 7.2524
H 2.7715 3.5560 2.9347
Os 5.4089 1.4317 8.2501
H 1.7299 0.7938 5.5338
K 2.0327 1.0483 2.5047
H 3.2258 4.5177 4.5391
K 4.1647 1.9264 4.8067
H 3.9118 1.4317 7.5200
H 2.5908 5.7796 3.1434
H 1.7351 3.2557 4.8982
H 0.1972 0.4701 4.3255
H 4.3661 2.3933 9.1245
H 6.9404 5.4793 7.7336
H 4.5468 0.1697 8.9157
H 5.4077 5.1555 6.5254
```

Computed properties:
The final energy comes out at -3.857 eV per atom. As for the space group: Imma (74).

# 4
Density functional theory data (GGA-PBE) for crystalline KH8Os2 at its relaxed geometry. Values from VASP.

The structure in Quantum ESPRESSO input format:
```
&SYSTEM
  ibrav = 0, nat = 11, ntyp = 3
/
ATOMIC_SPECIES
H 1.01 H.upf
K 39.10 K.upf
Os 190.23 Os.upf
CELL_PARAMETERS angstrom
5.8036 -0.0876 -0.0914
-0.1750 4.2922 -2.3911
-0.0118 -0.3176 4.7618
ATOMIC_POSITIONS angstrom
H 4.6742 3.1994 0.0617
K 0.3387 4.1142 -2.1992
H 1.8597 3.6339 0.4475
H 4.8401 1.0565 1.7786
Os 3.1088 2.7382 -0.1374
H 3.9323 2.7057 1.5824
H 2.2726 1.6671 0.9802
H 4.2647 1.4257 -0.8658
Os 3.3811 1.3217 2.4048
H 3.2265 -0.1250 1.2426
H 1.8221 1.7670 3.5386
```

Computed properties:
The final energy comes out at -4.472 eV per atom. As for the space group: P1 (1).

# 5
Density functional theory data (GGA-PBE) for crystalline K2HOs2 at its relaxed geometry. Values from VASP.

The structure in Quantum ESPRESSO input format:
```
&SYSTEM
  ibrav = 0, nat = 10, ntyp = 3
/
ATOMIC_SPECIES
Os 190.23 Os.upf
K 39.10 K.upf
H 1.01 H.upf
CELL_PARAMETERS angstrom
-5.6011 8.3405 1.7754
-5.0232 -1.5107 -8.7506
-1.8013 -1.4844 1.2903
ATOMIC_POSITIONS angstrom
Os -6.9986 2.1291 -7.3212
Os -2.5565 0.0097 -3.5578
Os -8.0678 6.8200 -3.4175
K -8.8412 3.9074 -5.0915
K -3.5845 1.4380 -0.5935
H -5.3122 3.4149 -3.4876
K -6.8672 5.4633 -0.5457
K -5.5585 -0.1179 -5.1392
H 0.0000 0.0000 0.0000
Os -3.6257 4.7007 0.3459
```

Computed properties:
The distance to the lowest polymorph of the same formula comes out at 0.0000 eV per atom. As for the space group: P4/mbm (127).

# 6
Density functional theory data (GGA-PBE) for crystalline K2HOsPt at its relaxed geometry. Values from VASP.

The structure in Quantum ESPRESSO input format:
```
&SYSTEM
  ibrav = 0, nat = 5, ntyp = 4
/
ATOMIC_SPECIES
K 39.10 K.upf
Os 190.23 Os.upf
Pt 195.08 Pt.upf
H 1.01 H.upf
CELL_PARAMETERS angstrom
-3.6204 0.2034 -2.5896
-0.7707 -4.5800 0.7177
-2.4927 0.9776 3.5617
ATOMIC_POSITIONS angstrom
K -1.2463 0.4888 1.7809
K -1.8102 0.1017 -1.2948
Os -0.3853 -2.2900 0.3588
Pt -3.4419 -1.6995 0.8449
H 0.0000 0.0000 0.0000
```

Computed properties:
The final energy comes out at -3.484 eV per atom. As for the space group: P4/mmm (123).

# 7
Density functional theory data (GGA-PBE) for crystalline KRb2H6Os at its relaxed geometry. Values from VASP.

The structure in Quantum ESPRESSO input format:
```
&SYSTEM
  ibrav = 0, nat = 10, ntyp = 4
/
ATOMIC_SPECIES
H 1.01 H.upf
K 39.10 K.upf
Rb 85.47 Rb.upf
Os 190.23 Os.upf
CELL_PARAMETERS angstrom
-3.5406 4.9392 -0.5508
-4.6667 -3.5367 -1.7174
-5.3124 0.2945 2.9879
ATOMIC_POSITIONS angstrom
H -7.7659 0.7138 2.3098
K 0.0000 0.0000 0.0000
H -4.5897 0.5377 0.5235
Rb -7.0414 -1.2704 0.0682
Os -4.1037 0.7013 -1.1341
H -4.3301 -1.0029 -1.3686
H -8.9300 1.1594 0.1963
H -5.7539 0.9833 -1.5901
H -9.1897 2.7000 2.0884
Rb -6.4784 2.9675 0.6515
```

Computed properties:
The final energy comes out at -3.572 eV per atom. As for the space group: Fm-3m (225).

# 8
Density functional theory data (GGA-PBE) for crystalline K2HOsRh at its relaxed geometry. Values from VASP.

The structure in Quantum ESPRESSO input format:
```
&SYSTEM
  ibrav = 0, nat = 5, ntyp = 4
/
ATOMIC_SPECIES
H 1.01 H.upf
Os 190.23 Os.upf
K 39.10 K.upf
Rh 102.91 Rh.upf
CELL_PARAMETERS angstrom
-1.4115 4.0532 -0.6062
-1.8868 -1.3314 -4.5092
-3.7669 -1.0306 1.8805
ATOMIC_POSITIONS angstrom
H 0.0000 0.0000 0.0000
Os -3.5326 0.8456 -1.6174
K -1.8835 -0.5153 0.9402
K -0.7057 2.0266 -0.3031
Rh -0.9434 -0.6657 -2.2546
```

Computed properties:
The final energy comes out at -3.486 eV per atom. As for the space group: P4/mmm (123).

# 9
Density functional theory data (GGA-PBE) for crystalline KSbHOs2 at its relaxed geometry. Values from VASP.

The structure in Quantum ESPRESSO input format:
```
&SYSTEM
  ibrav = 0, nat = 5, ntyp = 4
/
ATOMIC_SPECIES
H 1.01 H.upf
Sb 121.76 Sb.upf
Os 190.23 Os.upf
K 39.10 K.upf
CELL_PARAMETERS angstrom
5.0535 0.0000 0.0000
0.0000 4.4082 0.0000
0.0000 0.0000 5.0535
ATOMIC_POSITIONS angstrom
H 0.0000 2.2041 0.0000
Sb 0.0000 0.0000 0.0000
Os 2.5268 0.0000 0.0000
K 2.5268 2.2041 2.5268
Os 0.0000 0.0000 2.5268
```

Computed properties:
The final energy comes out at -4.465 eV per atom. As for the space group: P4/mmm (123).

Number 1: magnetic moment 0.211 μB/cell. Number 2: magnetic moment 0.257 μB/cell. Number 3: magnetic moment 0.000 μB/cell. Number 4: magnetic moment 0.000 μB/cell. Number 5: magnetic moment 2.694 μB/cell. Number 6: magnetic moment 1.971 μB/cell. Number 7: magnetic moment 1.000 μB/cell. Number 8: magnetic moment 3.007 μB/cell. Number 9: magnetic moment 2.967 μB/cell.